A plane-wave DFT calculation with PBEsol was carried out for an optimized crystal structure of CdIrW.

a = 5.032 Å, b = 5.032 Å, c = 5.032 Å
α = 147.43°, β = 134.84°, γ = 56.78°
Fractional coordinates of all 3 atoms:
Cd 0.000 0.000 0.000
Ir 0.681 0.681 0.000
W 0.316 0.316 0.000

Results
**ΔE_f**: 0.267 eV/atom
**Density**: 16.8 g/cm³
**Total magnetic moment**: 0.0 Bohr magnetons per cell
**DOS(E_F)**: 0.5060 states/eV per atom
**Distance to the lowest polymorph of the same formula**: 0.00 eV per formula unit